This record from Alexandria via LeMat-Bulk describes a geometry-optimized CaPtAu structure. The functional is PBE.

abc: 5.5724 5.6074 7.8108
angles: 90.00 90.00 90.00
With the nearest neighbours (Å) after each atom.
Space group Imma (No. 74)
Inequivalent atoms, fractional coordinates:
Ca 0.0000 0.2500 0.1297  6 Pt 3.21-3.28, 6 Au 3.27-3.28, 4 Ca 3.36-3.46
Pt 0.0000 0.0000 0.5000  4 Au 2.78, 2 Pt 2.80
Au 0.2500 0.2500 0.7500  4 Pt 2.78, 2 Au 2.79

- Calculated formation energy: -18.3 kcal/mol of atoms
- Magnetization: 0.00 Bohr magnetons per cell
- Distance to the lowest polymorph of the same formula: 0.00 eV/f.u.
- N(E_F): 1.0 states/eV/f.u.
- Crystal system: orthorhombic